## TbNdPd4 (PBE-GGA)

Data for TbNdPd4 after structural relaxation. Values from VASP.

Structure (Quantum ESPRESSO input):
```
&SYSTEM
  ibrav = 0, nat = 12, ntyp = 3
/
ATOMIC_SPECIES
Tb 158.93 Tb.upf
Nd 144.24 Nd.upf
Pd 106.42 Pd.upf
ATOMIC_POSITIONS crystal
Tb 0.076 0.924 0.750
Tb 0.924 0.076 0.250
Nd 0.223 0.777 0.250
Nd 0.777 0.223 0.750
Pd 0.072 0.928 0.250
Pd 0.355 0.645 0.509
Pd 0.355 0.645 0.991
Pd 0.500 0.500 0.000
Pd 0.500 0.500 0.500
Pd 0.645 0.355 0.009
Pd 0.645 0.355 0.491
Pd 0.928 0.072 0.750
CELL_PARAMETERS angstrom
2.120 -9.882 0.000
2.120 9.882 0.000
0.000 0.000 5.813
```

## Properties
**Density**: 9.94 g/cm3
**Energy relative to the lowest polymorph listed for this composition**: 0.000 eV/atom
**VASP energy**: -70.48 eV for the cell shown
**DFT formation energy**: -0.845 eV per atom
**Calculated volume**: 244 Å³/cell